*one*
First-principles (meta-GGA SCAN) data for a PBEsol-optimized structure of ZrCrCu2, as listed in Alexandria via LeMat-Bulk.

Calculated values
Calculated volume ... 14.23 A^3/atom
N(E_F) ... 0.63 states/eV/atom
Total moment ... 3.19 μB per formula unit
Space group ... Pmmm, No. 47

Cell and atoms, written as extended XYZ:
```
4
Lattice="2.7713 0.0000 0.0000 0.0000 3.7638 0.0000 0.0000 0.0000 5.4571" Properties=species:S:1:pos:R:3 pbc="T T T"
Zr 0.0000 0.0000 0.0000
Cr 0.0000 0.0000 2.7286
Cu 1.3856 1.8819 1.5149
Cu 1.3856 1.8819 3.9422
```



*two*
First-principles (meta-GGA SCAN) data for a PBEsol-optimized structure of ZrCrCu2, as listed in Alexandria via LeMat-Bulk.

Calculated values
Calculated volume ... 14.88 A^3/atom
N(E_F) ... 0.83 states/eV/atom
Total moment ... 4.37 μB per formula unit
Space group ... Fm-3m, No. 225

Cell and atoms, written as extended XYZ:
```
16
Lattice="6.1981 0.0000 0.0000 0.0000 6.1981 0.0000 0.0000 0.0000 6.1981" Properties=species:S:1:pos:R:3 pbc="T T T"
Zr 0.0000 0.0000 0.0000
Zr 0.0000 3.0990 3.0990
Zr 3.0990 0.0000 3.0990
Zr 3.0990 3.0990 0.0000
Cr 0.0000 0.0000 3.0990
Cr 0.0000 3.0990 0.0000
Cr 3.0990 0.0000 0.0000
Cr 3.0990 3.0990 3.0990
Cu 1.5495 1.5495 1.5495
Cu 1.5495 1.5495 4.6486
Cu 1.5495 4.6486 1.5495
Cu 1.5495 4.6486 4.6486
Cu 4.6486 1.5495 1.5495
Cu 4.6486 1.5495 4.6486
Cu 4.6486 4.6486 1.5495
Cu 4.6486 4.6486 4.6486
```



Name the most stable of them. *two*.



*one*
First-principles (meta-GGA SCAN) data for a PBEsol-optimized structure of ZrCrCu2, as listed in Alexandria via LeMat-Bulk.

Calculated values
Calculated volume ... 14.38 A^3/atom
N(E_F) ... 0.71 states/eV/atom
Total moment ... 3.41 μB per formula unit
Space group ... I-4m2, No. 119

Cell and atoms, written as extended XYZ:
```
8
Lattice="3.8150 0.0000 0.0000 0.0000 3.8150 0.0000 0.0000 0.0000 7.9027" Properties=species:S:1:pos:R:3 pbc="T T T"
Zr 0.0000 0.0000 0.0000
Zr 1.9075 1.9075 3.9514
Cr 0.0000 1.9075 1.9757
Cr 1.9075 0.0000 5.9270
Cu 0.0000 0.0000 3.9514
Cu 0.0000 1.9075 5.9270
Cu 1.9075 0.0000 1.9757
Cu 1.9075 1.9075 0.0000
```



*two*
First-principles (meta-GGA SCAN) data for a PBEsol-optimized structure of ZrCrCu2, as listed in Alexandria via LeMat-Bulk.

Calculated values
Calculated volume ... 13.71 A^3/atom
N(E_F) ... 0.88 states/eV/atom
Total moment ... 0.01 μB per formula unit
Space group ... P4/mmm, No. 123

Cell and atoms, written as extended XYZ:
```
4
Lattice="2.7186 0.0000 0.0000 0.0000 2.7186 0.0000 0.0000 0.0000 7.4178" Properties=species:S:1:pos:R:3 pbc="T T T"
Zr 0.0000 0.0000 0.0000
Cr 0.0000 0.0000 3.7089
Cu 1.3593 1.3593 2.0833
Cu 1.3593 1.3593 5.3345
```



Name the most stable of them. *one*.



*one*
First-principles (meta-GGA SCAN) data for a PBEsol-optimized structure of ZrCr2Cu, as listed in Alexandria via LeMat-Bulk.

Calculated values
Calculated volume ... 13.87 A^3/atom
N(E_F) ... 1.05 states/eV/atom
Total moment ... 0.00 μB per formula unit
Space group ... Pm, No. 6

Cell and atoms, written as extended XYZ:
```
4
Lattice="2.6585 0.0000 0.0000 0.0000 3.8375 0.0000 -1.0559 0.0000 5.4386" Properties=species:S:1:pos:R:3 pbc="T T T"
Zr 0.0000 0.0000 0.0000
Cr 1.1408 1.9188 1.6089
Cr 1.8153 0.0000 2.5736
Cu 0.3015 1.9188 3.9063
```



*two*
First-principles (meta-GGA SCAN) data for a PBEsol-optimized structure of ZrCr2Cu, as listed in Alexandria via LeMat-Bulk.

Calculated values
Calculated volume ... 13.60 A^3/atom
N(E_F) ... 1.06 states/eV/atom
Total moment ... 0.00 μB per formula unit
Space group ... P2/m, No. 10

Cell and atoms, written as extended XYZ:
```
4
Lattice="2.5471 0.0000 0.0000 0.0000 4.3569 0.0000 -0.6718 0.0000 4.9006" Properties=species:S:1:pos:R:3 pbc="T T T"
Zr 0.0000 0.0000 0.0000
Cr 0.0986 2.1785 3.5862
Cr 1.7767 2.1785 1.3144
Cu 0.9376 0.0000 2.4503
```



Name the most stable of them. *one*.



*one*
First-principles (meta-GGA SCAN) data for a PBEsol-optimized structure of SrCrF2, as listed in Alexandria via LeMat-Bulk.

Calculated values
Calculated volume ... 16.42 A^3/atom
N(E_F) ... 0.18 states/eV/atom
Total moment ... 5.98 μB per formula unit
Space group ... Fm-3m, No. 225

Cell and atoms, written as extended XYZ:
```
16
Lattice="6.4050 0.0000 0.0000 0.0000 6.4050 0.0000 0.0000 0.0000 6.4050" Properties=species:S:1:pos:R:3 pbc="T T T"
Sr 0.0000 0.0000 0.0000
Sr 0.0000 3.2025 3.2025
Sr 3.2025 0.0000 3.2025
Sr 3.2025 3.2025 0.0000
Cr 0.0000 0.0000 3.2025
Cr 0.0000 3.2025 0.0000
Cr 3.2025 0.0000 0.0000
Cr 3.2025 3.2025 3.2025
F 1.6012 1.6012 1.6012
F 1.6012 1.6012 4.8037
F 1.6012 4.8037 1.6012
F 1.6012 4.8037 4.8037
F 4.8037 1.6012 1.6012
F 4.8037 1.6012 4.8037
F 4.8037 4.8037 1.6012
F 4.8037 4.8037 4.8037
```



*two*
First-principles (meta-GGA SCAN) data for a PBEsol-optimized structure of SrCrF2, as listed in Alexandria via LeMat-Bulk.

Calculated values
Calculated volume ... 19.55 A^3/atom
N(E_F) ... 0.17 states/eV/atom
Total moment ... 4.14 μB per formula unit
Space group ... R-3m, No. 166

Cell and atoms, written as extended XYZ:
```
12
Lattice="4.0811 0.0000 0.0000 -2.0405 3.5343 0.0000 0.0000 0.0000 16.2671" Properties=species:S:1:pos:R:3 pbc="T T T"
Sr 0.0000 0.0000 0.0000
Sr 0.0000 2.3562 10.8447
Sr 2.0405 1.1781 5.4224
Cr 0.0000 0.0000 8.1335
Cr 0.0000 2.3562 2.7112
Cr 2.0405 1.1781 13.5559
F 0.0000 0.0000 6.1669
F 0.0000 0.0000 10.1002
F 0.0000 2.3562 0.7445
F 0.0000 2.3562 4.6778
F 2.0405 1.1781 11.5892
F 2.0405 1.1781 15.5226
```



Name the most stable of them. *two*.



*one*
First-principles (meta-GGA SCAN) data for a PBEsol-optimized structure of CrIn2Fe, as listed in Alexandria via LeMat-Bulk.

Calculated values
Calculated volume ... 16.92 A^3/atom
N(E_F) ... 0.54 states/eV/atom
Total moment ... 6.55 μB per formula unit
Space group ... R-3m, No. 166

Cell and atoms, written as extended XYZ:
```
12
Lattice="2.9949 0.0000 0.0000 -1.4974 2.5937 0.0000 0.0000 0.0000 26.1339" Properties=species:S:1:pos:R:3 pbc="T T T"
Cr 0.0000 0.0000 0.0000
Cr 0.0000 1.7291 17.4226
Cr 1.4974 0.8646 8.7113
In 0.0000 0.0000 6.4730
In 0.0000 0.0000 19.6609
In 0.0000 1.7291 10.9496
In 0.0000 1.7291 23.8956
In 1.4974 0.8646 2.2383
In 1.4974 0.8646 15.1843
Fe 0.0000 0.0000 13.0670
Fe 0.0000 1.7291 4.3557
Fe 1.4974 0.8646 21.7782
```



*two*
First-principles (meta-GGA SCAN) data for a PBEsol-optimized structure of CrIn2Fe, as listed in Alexandria via LeMat-Bulk.

Calculated values
Calculated volume ... 16.11 A^3/atom
N(E_F) ... 0.65 states/eV/atom
Total moment ... 5.76 μB per formula unit
Space group ... I4/mmm, No. 139

Cell and atoms, written as extended XYZ:
```
8
Lattice="4.1330 0.0000 0.0000 0.0000 4.1330 0.0000 0.0000 0.0000 7.5467" Properties=species:S:1:pos:R:3 pbc="T T T"
Cr 0.0000 0.0000 0.0000
Cr 2.0665 2.0665 3.7734
In 0.0000 2.0665 1.8867
In 0.0000 2.0665 5.6600
In 2.0665 0.0000 1.8867
In 2.0665 0.0000 5.6600
Fe 0.0000 0.0000 3.7734
Fe 2.0665 2.0665 0.0000
```



Name the most stable of them. *two*.



*one*
First-principles (meta-GGA SCAN) data for a PBEsol-optimized structure of LiCr2Fe, as listed in Alexandria via LeMat-Bulk.

Calculated values
Calculated volume ... 11.47 A^3/atom
N(E_F) ... 0.62 states/eV/atom
Total moment ... 0.00 μB per formula unit
Space group ... R-3m, No. 166

Cell and atoms, written as extended XYZ:
```
12
Lattice="2.4639 0.0000 0.0000 -1.2319 2.1338 0.0000 0.0000 0.0000 26.1779" Properties=species:S:1:pos:R:3 pbc="T T T"
Li 0.0000 0.0000 0.0000
Li 0.0000 1.4225 17.4520
Li 1.2319 0.7113 8.7260
Cr 0.0000 0.0000 6.3380
Cr 0.0000 0.0000 19.8400
Cr 0.0000 1.4225 11.1140
Cr 0.0000 1.4225 23.7899
Cr 1.2319 0.7113 2.3880
Cr 1.2319 0.7113 15.0639
Fe 0.0000 0.0000 13.0890
Fe 0.0000 1.4225 4.3630
Fe 1.2319 0.7113 21.8149
```



*two*
First-principles (meta-GGA SCAN) data for a PBEsol-optimized structure of LiCr2Fe, as listed in Alexandria via LeMat-Bulk.

Calculated values
Calculated volume ... 10.88 A^3/atom
N(E_F) ... 0.82 states/eV/atom
Total moment ... 1.84 μB per formula unit
Space group ... Pmmm, No. 47

Cell and atoms, written as extended XYZ:
```
4
Lattice="2.3275 0.0000 0.0000 0.0000 3.9803 0.0000 0.0000 0.0000 4.6982" Properties=species:S:1:pos:R:3 pbc="T T T"
Li 0.0000 0.0000 0.0000
Cr 1.1637 1.9902 1.1831
Cr 1.1637 1.9902 3.5151
Fe 0.0000 0.0000 2.3491
```



Name the most stable of them. *two*.



*one*
First-principles (meta-GGA SCAN) data for a PBEsol-optimized structure of MnCr2Fe, as listed in Alexandria via LeMat-Bulk.

Calculated values
Calculated volume ... 10.67 A^3/atom
N(E_F) ... 1.16 states/eV/atom
Total moment ... 1.05 μB per formula unit
Space group ... P4/mmm, No. 123

Cell and atoms, written as extended XYZ:
```
4
Lattice="3.5409 0.0000 0.0000 0.0000 3.5409 0.0000 0.0000 0.0000 3.4045" Properties=species:S:1:pos:R:3 pbc="T T T"
Mn 0.0000 0.0000 0.0000
Cr 0.0000 1.7705 1.7022
Cr 1.7705 0.0000 1.7022
Fe 1.7705 1.7705 0.0000
```



*two*
First-principles (meta-GGA SCAN) data for a PBEsol-optimized structure of MnCr2Fe, as listed in Alexandria via LeMat-Bulk.

Calculated values
Calculated volume ... 10.82 A^3/atom
N(E_F) ... 0.88 states/eV/atom
Total moment ... 3.23 μB per formula unit
Space group ... Cmm2, No. 35

Cell and atoms, written as extended XYZ:
```
8
Lattice="2.8073 0.0000 0.0000 0.0000 3.9131 0.0000 0.0000 0.0000 7.8821" Properties=species:S:1:pos:R:3 pbc="T T T"
Mn 0.0000 0.0000 0.0000
Mn 1.4037 1.9565 0.0000
Cr 0.0000 0.0000 3.9356
Cr 0.0000 1.9565 1.9429
Cr 1.4037 0.0000 1.9429
Cr 1.4037 1.9565 3.9356
Fe 0.0000 1.9565 5.9088
Fe 1.4037 0.0000 5.9088
```



Name the most stable of them. *two*.



*one*
First-principles (meta-GGA SCAN) data for a PBEsol-optimized structure of Cr2FeMo, as listed in Alexandria via LeMat-Bulk.

Calculated values
Calculated volume ... 12.14 A^3/atom
N(E_F) ... 0.67 states/eV/atom
Total moment ... 1.64 μB per formula unit
Space group ... P4/mmm, No. 123

Cell and atoms, written as extended XYZ:
```
4
Lattice="4.0470 0.0000 0.0000 0.0000 4.0470 0.0000 0.0000 0.0000 2.9649" Properties=species:S:1:pos:R:3 pbc="T T T"
Cr 0.0000 2.0235 0.0000
Cr 2.0235 0.0000 0.0000
Fe 0.0000 0.0000 1.4824
Mo 2.0235 2.0235 1.4824
```



*two*
First-principles (meta-GGA SCAN) data for a PBEsol-optimized structure of Cr2FeMo, as listed in Alexandria via LeMat-Bulk.

Calculated values
Calculated volume ... 12.05 A^3/atom
N(E_F) ... 1.13 states/eV/atom
Total moment ... 1.37 μB per formula unit
Space group ... C2/m, No. 12

Cell and atoms, written as extended XYZ:
```
8
Lattice="8.7566 0.0000 0.0000 0.0000 2.6658 0.0000 -1.0225 0.0000 4.1288" Properties=species:S:1:pos:R:3 pbc="T T T"
Cr 1.7985 0.0000 0.8896
Cr 1.5573 1.3329 3.2392
Cr 6.1768 1.3329 0.8896
Cr 5.9356 0.0000 3.2392
Fe 0.0000 1.3329 0.0000
Fe 4.3783 0.0000 0.0000
Mo -0.5113 0.0000 2.0644
Mo 3.8670 1.3329 2.0644
```



Name the most stable of them. *one*.